(1)
The following is a DFT calculation (PBE) of a relaxed structure of VPIrS2.

abc: 4.3875 4.3875 4.5710
angles: 90.00 90.00 90.00
Space group P4/mmm (No. 123)
One atom of each set of equivalent atoms:
V: 0.0000 0.0000 0.0000 x1
P: 0.0000 0.0000 0.5000 x1
Ir: 0.5000 0.5000 0.5000 x1
S: 0.0000 0.5000 0.0000 x2

Results
* DFT total energy: -5.5684 eV per atom
* uncorrected formation energy: 0.76 eV/atom
* relative energy among the computed polymorphs: 76.7 meV per atom

(2)
The following is a DFT calculation (PBE) of a relaxed structure of Sn3WS.

abc: 5.0346 5.0346 5.0346
angles: 90.00 90.00 90.00
Space group Pm-3m (No. 221)
One atom of each set of equivalent atoms:
Sn: 0.0000 0.0000 0.5000 x3
W: 0.5000 0.5000 0.5000 x1
S: 0.0000 0.0000 0.0000 x1

Results
* DFT total energy: -4.5032 eV per atom
* uncorrected formation energy: 1.31 eV/atom
* relative energy among the computed polymorphs: 719.0 meV per atom

(3)
The following is a DFT calculation (PBE) of a relaxed structure of AcIn2Pt.

abc: 4.6213 4.6213 17.5645
angles: 90.00 90.00 120.00
Space group R-3m (No. 166, hexagonal axes)
One atom of each set of equivalent atoms:
Ac: 0.0000 0.0000 0.0000 x3
In: 0.0000 0.0000 0.2144 x6
Pt: 0.0000 0.0000 0.5000 x3

Results
* DFT total energy: -4.4906 eV per atom
* relative energy among the computed polymorphs: 135.2 meV per atom
* formation energy from the elements: -584 meV per atom

(4)
The following is a DFT calculation (PBE) of a relaxed structure of KBi6Pd12.

abc: 12.3057 12.3057 9.7506
angles: 90.00 90.00 120.00
Space group R-3m (No. 166, hexagonal axes)
One atom of each set of equivalent atoms:
K: 0.0000 0.0000 0.0000 x3
Bi: 0.0546 0.5273 0.2654 x18
Pd: 0.0000 0.3834 0.5000 x18
Pd: 0.0991 0.1981 0.3105 x18

Results
* DFT total energy: -4.6936 eV per atom
* formation energy from the elements: -131 meV per atom

(5)
The following is a DFT calculation (PBE) of a relaxed structure of CsRb2O.

abc: 9.1826 13.0596 7.6033
angles: 90.00 119.31 90.00
Space group C2/c (No. 15)
One atom of each set of equivalent atoms:
Cs: 0.2500 0.2500 0.0000 x4
Rb: 0.1820 0.0637 0.5465 x8
O: 0.0000 0.0817 0.7500 x4

Results
* DFT total energy: -2.6393 eV per atom
* uncorrected formation energy: -0.70 eV/atom

(6)
The following is a DFT calculation (PBE) of a relaxed structure of Zr2MnSe2Cl4.

abc: 3.4066 3.4066 21.8386
angles: 90.00 90.00 120.00
Space group P3m1 (No. 156)
One atom of each set of equivalent atoms:
Zr: 0.0000 0.0000 0.0000 x1
Zr: 0.3333 0.6667 0.3328 x1
Mn: 0.3333 0.6667 0.6750 x1
Se: 0.0000 0.0000 0.6062 x1
Se: 0.0000 0.0000 0.7438 x1
Cl: 0.0000 0.0000 0.2537 x1
Cl: 0.0000 0.0000 0.4117 x1
Cl: 0.3333 0.6667 0.0791 x1
Cl: 0.3333 0.6667 0.9212 x1

Results
* DFT total energy: -5.7267 eV per atom
* uncorrected formation energy: -1.21 eV/atom

(7)
The following is a DFT calculation (PBE) of a relaxed structure of Li2ThSnTe4.

abc: 7.4017 4.4817 7.8177
angles: 90.00 109.79 90.00
Space group P2/m (No. 10)
One atom of each set of equivalent atoms:
Li: 0.0000 0.0000 0.0000 x1
Li: 0.0000 0.5000 0.5000 x1
Th: 0.5000 0.0000 0.5000 x1
Sn: 0.5000 0.5000 0.0000 x1
Te: 0.2405 0.5000 0.2501 x2
Te: 0.2406 0.0000 0.7407 x2

Results
* DFT total energy: -4.3623 eV per atom
* uncorrected formation energy: -0.89 eV/atom

(8)
The following is a DFT calculation (PBE) of a relaxed structure of K2BaZrCl8.

abc: 6.8309 9.0535 7.0371
angles: 90.00 91.97 90.00
Space group P2/m (No. 10)
One atom of each set of equivalent atoms:
K: 0.0000 0.2432 0.0000 x2
Ba: 0.5000 0.5000 0.5000 x1
Zr: 0.5000 0.0000 0.5000 x1
Cl: 0.1615 0.5000 0.2282 x2
Cl: 0.2049 0.0000 0.2854 x2
Cl: 0.3536 0.1994 0.6987 x4

Results
* DFT total energy: -4.3026 eV per atom
* uncorrected formation energy: -2.02 eV/atom

(9)
The following is a DFT calculation (PBE) of a relaxed structure of PmNd8Mg2.

abc: 17.4231 5.3641 8.4786
angles: 90.00 112.45 90.00
Space group C2/m (No. 12)
One atom of each set of equivalent atoms:
Pm: 0.0000 0.0000 0.0000 x2
Nd: 0.0513 0.5000 0.7349 x4
Nd: 0.0984 0.0000 0.4661 x4
Nd: 0.1462 0.5000 0.2022 x4
Nd: 0.1859 0.0000 0.9485 x4
Mg: 0.2253 0.5000 0.6302 x4

Results
* DFT total energy: -4.1819 eV per atom
* relative energy among the computed polymorphs: 0.0 meV per atom
* formation energy from the elements: 7 meV per atom

(10)
The following is a DFT calculation (PBE) of a relaxed structure of NaPrDyPb.

abc: 7.7737 7.7737 7.7737
angles: 90.00 90.00 90.00
Space group F-43m (No. 216)
One atom of each set of equivalent atoms:
Na: 0.0000 0.0000 0.0000 x4
Pr: 0.2500 0.2500 0.7500 x4
Dy: 0.2500 0.2500 0.2500 x4
Pb: 0.0000 0.0000 0.5000 x4

Results
* DFT total energy: -3.7829 eV per atom
* formation energy from the elements: -181 meV per atom

(11)
The following is a DFT calculation (PBE) of a relaxed structure of ZnRuCl2.

abc: 3.0829 3.0829 8.2760
angles: 90.00 90.00 90.00
Space group P4mm (No. 99)
One atom of each set of equivalent atoms:
Zn: 0.0000 0.0000 0.0000 x1
Ru: 0.5000 0.5000 0.7865 x1
Cl: 0.0000 0.0000 0.6066 x1
Cl: 0.5000 0.5000 0.1783 x1

Results
* DFT total energy: -3.5147 eV per atom
* uncorrected formation energy: 0.05 eV/atom
* relative energy among the computed polymorphs: 319.1 meV per atom

(12)
The following is a DFT calculation (PBE) of a relaxed structure of Tl2VSi.

abc: 8.0504 8.0504 5.6741
angles: 90.00 90.00 90.00
Space group I-42d (No. 122)
One atom of each set of equivalent atoms:
Tl: 0.2278 0.7500 0.1250 x8
V: 0.0000 0.0000 0.5000 x4
Si: 0.0000 0.0000 0.0000 x4

Results
* DFT total energy: -4.0639 eV per atom
* uncorrected formation energy: 0.75 eV/atom
* relative energy among the computed polymorphs: 19.1 meV per atom